# Cd2AsAu PBE relaxed
data_Cd2AsAu
_chemical_formula_sum 'Cd4 As2 Au2'
_space_group_name_H-M_alt 'C 1 2/m 1'
_space_group_IT_number 12
_space_group_name_Hall '-C 2y'
_cell_length_a 10.0515
_cell_length_b 2.9728
_cell_length_c 5.5918
_cell_angle_alpha 90.00
_cell_angle_beta 101.61
_cell_angle_gamma 90.00
loop_
_atom_site_label
_atom_site_fract_x
_atom_site_fract_y
_atom_site_fract_z
_atom_site_occupancy
Cd1 0.2443 0.0000 0.2423 1
As1 0.0000 0.0000 0.5000 1
Au1 0.0000 0.5000 0.0000 1
# **Uncorrected energy**: -2.37 eV/atom
# **Fermi-level density of states**: 2.04 states/eV/cell
# **Formation energy from the elements**: 0.07 eV/atom

=====

# CdAs2Au PBE relaxed
data_CdAs2Au
_chemical_formula_sum 'Cd1 As2 Au1'
_space_group_name_H-M_alt 'P m m m'
_space_group_IT_number 47
_space_group_name_Hall '-P 2 2'
_cell_length_a 2.8775
_cell_length_b 5.2930
_cell_length_c 5.4242
_cell_angle_alpha 90.00
_cell_angle_beta 90.00
_cell_angle_gamma 90.00
loop_
_atom_site_label
_atom_site_fract_x
_atom_site_fract_y
_atom_site_fract_z
_atom_site_occupancy
Cd1 0.0000 0.0000 0.0000 1
As1 0.5000 0.5000 0.0000 1
As2 0.5000 0.5000 0.5000 1
Au1 0.5000 0.0000 0.5000 1
# **Uncorrected energy**: -3.30 eV/atom
# **Fermi-level density of states**: 1.86 states/eV/cell
# **Formation energy from the elements**: 0.08 eV/atom

=====

# CdAs2Au PBE relaxed
data_CdAs2Au
_chemical_formula_sum 'Cd4 As8 Au4'
_space_group_name_H-M_alt 'F m m m'
_space_group_IT_number 69
_space_group_name_Hall '-F 2 2'
_cell_length_a 5.7012
_cell_length_b 5.7129
_cell_length_c 10.2222
_cell_angle_alpha 90.00
_cell_angle_beta 90.00
_cell_angle_gamma 90.00
loop_
_atom_site_label
_atom_site_fract_x
_atom_site_fract_y
_atom_site_fract_z
_atom_site_occupancy
Cd1 0.0000 0.0000 0.0000 1
As1 0.2500 0.0000 0.2500 1
Au1 0.0000 0.0000 0.5000 1
# **Uncorrected energy**: -3.25 eV/atom
# **Fermi-level density of states**: 8.16 states/eV/cell
# **Formation energy from the elements**: 0.12 eV/atom

=====

# Cd2AsAu PBE relaxed
data_Cd2AsAu
_chemical_formula_sum 'Cd2 As1 Au1'
_space_group_name_H-M_alt 'P 4 m m'
_space_group_IT_number 99
_space_group_name_Hall 'P 4 -2'
_cell_length_a 3.0932
_cell_length_b 3.0932
_cell_length_c 8.5915
_cell_angle_alpha 90.00
_cell_angle_beta 90.00
_cell_angle_gamma 90.00
loop_
_atom_site_label
_atom_site_fract_x
_atom_site_fract_y
_atom_site_fract_z
_atom_site_occupancy
Cd1 0.0000 0.0000 0.0000 1
Cd2 0.5000 0.5000 0.2729 1
As1 0.0000 0.0000 0.5389 1
Au1 0.5000 0.5000 0.7647 1
# **Uncorrected energy**: -2.35 eV/atom
# **Fermi-level density of states**: 1.05 states/eV/cell
# **Formation energy from the elements**: 0.09 eV/atom

=====

# Cd4AsAu PBE relaxed
data_Cd4AsAu
_chemical_formula_sum 'Cd4 As1 Au1'
_space_group_name_H-M_alt 'P 4/m m m'
_space_group_IT_number 123
_space_group_name_Hall '-P 4 2'
_cell_length_a 4.5451
_cell_length_b 4.5451
_cell_length_c 6.9714
_cell_angle_alpha 90.00
_cell_angle_beta 90.00
_cell_angle_gamma 90.00
loop_
_atom_site_label
_atom_site_fract_x
_atom_site_fract_y
_atom_site_fract_z
_atom_site_occupancy
Cd1 0.0000 0.5000 0.2423 1
As1 0.0000 0.0000 0.5000 1
Au1 0.5000 0.5000 0.0000 1
# **Energy above the most stable polymorph in this dataset**: 0.0 meV per atom
# **Uncorrected energy**: -2.05 eV/atom
# **Fermi-level density of states**: 1.79 states/eV/cell
# **Formation energy from the elements**: -0.12 eV/atom

=====

# Cd2AsAu PBE relaxed
data_Cd2AsAu
_chemical_formula_sum 'Cd2 As1 Au1'
_space_group_name_H-M_alt 'P 1 2/m 1'
_space_group_IT_number 10
_space_group_name_Hall '-P 2y'
_cell_length_a 2.9282
_cell_length_b 3.9171
_cell_length_c 7.5015
_cell_angle_alpha 90.00
_cell_angle_beta 90.14
_cell_angle_gamma 90.00
loop_
_atom_site_label
_atom_site_fract_x
_atom_site_fract_y
_atom_site_fract_z
_atom_site_occupancy
Cd1 0.0003 0.0000 0.2265 1
As1 0.0000 0.5000 0.5000 1
Au1 0.5000 0.5000 0.0000 1
# **Uncorrected energy**: -2.42 eV/atom
# **Fermi-level density of states**: 1.82 states/eV/cell
# **Formation energy from the elements**: 0.02 eV/atom

=====

# Cd3As5Au12 PBE relaxed
data_Cd3As5Au12
_chemical_formula_sum 'Cd24 As40 Au96'
_space_group_name_H-M_alt 'I a -3 d'
_space_group_IT_number 230
_space_group_name_Hall '-I 4bd 2c 3'
_cell_length_a 15.4881
_cell_length_b 15.4881
_cell_length_c 15.4881
_cell_angle_alpha 90.00
_cell_angle_beta 90.00
_cell_angle_gamma 90.00
loop_
_atom_site_label
_atom_site_fract_x
_atom_site_fract_y
_atom_site_fract_z
_atom_site_occupancy
Cd1 0.0000 0.2500 0.1250 1
As1 0.0000 0.0000 0.0000 1
As2 0.0000 0.2500 0.3750 1
Au1 0.0146 0.0695 0.6526 1
# **Uncorrected energy**: -3.15 eV/atom
# **Fermi-level density of states**: 62.90 states/eV/cell
# **Formation energy from the elements**: 0.11 eV/atom

=====

# Cd2AsAu PBE relaxed
data_Cd2AsAu
_chemical_formula_sum 'Cd2 As1 Au1'
_space_group_name_H-M_alt 'P 1 m 1'
_space_group_IT_number 6
_space_group_name_Hall 'P -2y'
_cell_length_a 3.0199
_cell_length_b 5.2298
_cell_length_c 5.2326
_cell_angle_alpha 90.00
_cell_angle_beta 90.12
_cell_angle_gamma 90.00
loop_
_atom_site_label
_atom_site_fract_x
_atom_site_fract_y
_atom_site_fract_z
_atom_site_occupancy
Cd1 0.0000 0.0000 0.0000 1
Cd2 0.0009 0.5000 0.5109 1
As1 0.5009 0.5000 0.0140 1
Au1 0.5005 0.0000 0.5016 1
# **Uncorrected energy**: -2.42 eV/atom
# **Fermi-level density of states**: 1.26 states/eV/cell
# **Formation energy from the elements**: 0.02 eV/atom

=====

# CdAs2Au2 PBE relaxed
data_CdAs2Au2
_chemical_formula_sum 'Cd2 As4 Au4'
_space_group_name_H-M_alt 'I 4/m m m'
_space_group_IT_number 139
_space_group_name_Hall '-I 4 2'
_cell_length_a 4.3070
_cell_length_b 4.3070
_cell_length_c 11.7599
_cell_angle_alpha 90.00
_cell_angle_beta 90.00
_cell_angle_gamma 90.00
loop_
_atom_site_label
_atom_site_fract_x
_atom_site_fract_y
_atom_site_fract_z
_atom_site_occupancy
Cd1 0.0000 0.0000 0.0000 1
As1 0.0000 0.0000 0.3905 1
Au1 0.0000 0.5000 0.2500 1
# **Energy above the most stable polymorph in this dataset**: 57.4 meV per atom
# **Uncorrected energy**: -3.17 eV/atom
# **Fermi-level density of states**: 4.38 states/eV/cell
# **Formation energy from the elements**: 0.19 eV/atom

=====

# Cd2AsAu PBE relaxed
data_Cd2AsAu
_chemical_formula_sum 'Cd6 As3 Au3'
_space_group_name_H-M_alt 'R -3 m'
_space_group_IT_number 166
_space_group_name_Hall '-R 3 2"'
_cell_length_a 3.1069
_cell_length_b 3.1069
_cell_length_c 29.1082
_cell_angle_alpha 90.00
_cell_angle_beta 90.00
_cell_angle_gamma 120.00
loop_
_atom_site_label
_atom_site_fract_x
_atom_site_fract_y
_atom_site_fract_z
_atom_site_occupancy
Cd1 0.0000 0.0000 0.2480 1
As1 0.0000 0.0000 0.0000 1
Au1 0.0000 0.0000 0.5000 1
# **Uncorrected energy**: -2.37 eV/atom
# **Fermi-level density of states**: 2.61 states/eV/cell
# **Formation energy from the elements**: 0.07 eV/atom

=====

# CdAsAu4 PBE relaxed
data_CdAsAu4
_chemical_formula_sum 'Cd4 As4 Au16'
_space_group_name_H-M_alt 'F -4 3 m'
_space_group_IT_number 216
_space_group_name_Hall 'F -4 2 3'
_cell_length_a 7.8461
_cell_length_b 7.8461
_cell_length_c 7.8461
_cell_angle_alpha 90.00
_cell_angle_beta 90.00
_cell_angle_gamma 90.00
loop_
_atom_site_label
_atom_site_fract_x
_atom_site_fract_y
_atom_site_fract_z
_atom_site_occupancy
Cd1 0.0000 0.0000 0.0000 1
As1 0.2500 0.2500 0.7500 1
Au1 0.1252 0.1252 0.3748 1
# **Uncorrected energy**: -2.98 eV/atom
# **Fermi-level density of states**: 16.28 states/eV/cell
# **Formation energy from the elements**: 0.14 eV/atom

=====

# CdAs2Au2 PBE relaxed
data_CdAs2Au2
_chemical_formula_sum 'Cd2 As4 Au4'
_space_group_name_H-M_alt 'I 4/m m m'
_space_group_IT_number 139
_space_group_name_Hall '-I 4 2'
_cell_length_a 3.8644
_cell_length_b 3.8644
_cell_length_c 14.0341
_cell_angle_alpha 90.00
_cell_angle_beta 90.00
_cell_angle_gamma 90.00
loop_
_atom_site_label
_atom_site_fract_x
_atom_site_fract_y
_atom_site_fract_z
_atom_site_occupancy
Cd1 0.0000 0.0000 0.0000 1
As1 0.0000 0.5000 0.2500 1
Au1 0.0000 0.0000 0.4036 1
# **Energy above the most stable polymorph in this dataset**: 0.0 meV per atom
# **Uncorrected energy**: -3.22 eV/atom
# **Fermi-level density of states**: 2.94 states/eV/cell
# **Formation energy from the elements**: 0.13 eV/atom